# 1
Density functional theory data (PBEsol) for crystalline K3Cr at its relaxed geometry.

Space group ... P-6m2 (187)
Formation enthalpy at 0 K ... 0.8120 eV per atom
DOS(E_F) ... 2.412 states/eV per cell

Cell: 4.386 4.386 12.783 Å, 90.00 90.00 120.00°
Site moments in Bohr magnetons follow the coordinates.
Fractional coordinates of all 4 atoms:
K: 0.000 0.000 0.500  0.00
K: 0.333 0.667 0.805  0.01
K: 0.333 0.667 0.195  0.01
Cr: 0.000 0.000 0.000  4.25


# 2
Density functional theory data (PBEsol) for crystalline KLa3Cr at its relaxed geometry.

Space group ... Pm-3m (221)
Formation enthalpy at 0 K ... 0.4863 eV per atom
DOS(E_F) ... 6.010 states/eV per cell

Cell: 5.475 5.475 5.475 Å, 90.00 90.00 90.00°
Fractional coordinates of all 5 atoms:
La: 0.000 0.500 0.000
La: 0.500 0.000 0.000
La: 0.000 0.000 0.500
Cr: 0.000 0.000 0.000
K: 0.500 0.500 0.500


Number 1: M_tot 5.19 μB per cell. Number 2: M_tot 0.00 μB per cell.